VASP calculation (PBE) on a relaxed YIrPt crystal.

It has space group Imma (No. 74), with a = 5.385 Å, b = 5.394 Å, c = 7.675 Å, α = 90.00°, β = 90.00° and γ = 90.00°. The distinct sites, in fractional coordinates, are Y at (0.000, 0.250, 0.126), Ir at (0.000, 0.000, 0.500) and Pt at (0.250, 0.250, 0.750).

The value obtained for the formation energy is -2.75 eV/f.u. The energy relative to the lowest polymorph listed for this composition comes out at 0.0 meV/atom.

VASP calculation (PBE) on a relaxed Y5IrPt2 crystal.

It has space group Pbam (No. 55), with a = 7.748 Å, b = 12.059 Å, c = 4.277 Å, α = 90.00°, β = 90.00° and γ = 90.00°. The distinct sites, in fractional coordinates, are Y at (0.000, 0.000, 0.000), Y at (0.163, 0.298, 0.000), Y at (0.176, 0.592, 0.500), Ir at (0.000, 0.500, 0.000) and Pt at (0.040, 0.827, 0.500).

The value obtained for the formation energy is -7.31 eV/f.u.

VASP calculation (PBE) on a relaxed Y8IrPt2 crystal.

It has space group Cm (No. 8), with a = 8.499 Å, b = 12.594 Å, c = 6.045 Å, α = 90.00°, β = 109.64° and γ = 90.00°. The distinct sites, in fractional coordinates, are Y at (0.000, 0.000, 0.000), Y at (0.063, 0.371, 0.773), Y at (0.150, 0.129, 0.568), Y at (0.209, 0.500, 0.359), Y at (0.353, 0.211, 0.181), Ir at (0.353, 0.000, 0.357) and Pt at (0.359, 0.314, 0.680).

The value obtained for the formation energy is -6.26 eV/f.u.

VASP calculation (PBE) on a relaxed YIrPt3 crystal.

It has space group Pm-3m (No. 221), with a = 4.960 Å, b = 4.960 Å, c = 4.960 Å, α = 90.00°, β = 90.00° and γ = 90.00°. The distinct sites, in fractional coordinates, are Y at (0.000, 0.000, 0.000), Ir at (0.500, 0.500, 0.500) and Pt at (0.000, 0.000, 0.500).

The value obtained for the formation energy is 8.02 eV/f.u. The energy relative to the lowest polymorph listed for this composition comes out at 1265.0 meV/atom.

VASP calculation (PBE) on a relaxed Y2IrPt crystal.

It has space group Immm (No. 71), with a = 3.042 Å, b = 5.261 Å, c = 10.739 Å, α = 90.00°, β = 90.00° and γ = 90.00°. The distinct sites, in fractional coordinates, are Y at (0.000, 0.000, 0.247), Ir at (0.000, 0.000, 0.000) and Pt at (0.000, 0.000, 0.500).

The value obtained for the formation energy is 1.29 eV/f.u.

VASP calculation (PBE) on a relaxed YIrPt4 crystal.

It has space group F-43m (No. 216), with a = 7.501 Å, b = 7.501 Å, c = 7.501 Å, α = 90.00°, β = 90.00° and γ = 90.00°. The distinct sites, in fractional coordinates, are Y at (0.000, 0.000, 0.000), Ir at (0.250, 0.250, 0.750) and Pt at (0.124, 0.124, 0.376).

The value obtained for the formation energy is -2.39 eV/f.u.

VASP calculation (PBE) on a relaxed Y2IrPt crystal.

It has space group P4mm (No. 99), with a = 3.997 Å, b = 3.997 Å, c = 5.788 Å, α = 90.00°, β = 90.00° and γ = 90.00°. The distinct sites, in fractional coordinates, are Y at (0.000, 0.000, 0.000), Y at (0.500, 0.500, 0.412), Ir at (0.000, 0.000, 0.493) and Pt at (0.500, 0.500, 0.907).

The value obtained for the formation energy is -3.11 eV/f.u.

VASP calculation (PBE) on a relaxed Y2IrPt crystal.

It has space group F-43m (No. 216), with a = 6.807 Å, b = 6.807 Å, c = 6.807 Å, α = 90.00°, β = 90.00° and γ = 90.00°. The distinct sites, in fractional coordinates, are Y at (0.000, 0.000, 0.000), Y at (0.250, 0.250, 0.250), Ir at (0.250, 0.250, 0.750) and Pt at (0.000, 0.000, 0.500).

The value obtained for the formation energy is -1.95 eV/f.u.